# 1
# CaHoPt | the Alexandria database | PBE | optimized geometry
data_CaHoPt
_symmetry_space_group_name_H-M 'P 3 m 1'
_symmetry_Int_Tables_number 156
_cell_length_a 4.1217
_cell_length_b 4.1217
_cell_length_c 6.3866
_cell_angle_alpha 90.00
_cell_angle_beta 90.00
_cell_angle_gamma 120.00
loop_
_symmetry_equiv_pos_as_xyz
'x,y,z'
'-y,x-y,z'
'-x+y,-x,z'
'-y,-x,z'
'-x+y,y,z'
'x,x-y,z'
loop_
_atom_site_label
_atom_site_fract_x
_atom_site_fract_y
_atom_site_fract_z
_atom_site_occupancy
Ca1 0.0000 0.0000 0.0000 1
Ho1 0.6667 0.3333 0.4766 1
Pt1 0.3333 0.6667 0.2633 1
# energy above the most stable polymorph in this dataset = 0.36 eV per formula unit

---

# 2
# Ca3HoPt8

A relaxed structure of Ca3HoPt8 (PBE, the Alexandria database).

The structure in CIF format:
```
data_Ca3HoPt8
_symmetry_space_group_name_H-M 'R 3 m'
_symmetry_Int_Tables_number 160
_symmetry_space_group_name_Hall 'R 3 -2"'
_cell_length_a 5.4584
_cell_length_b 5.4584
_cell_length_c 26.5736
_cell_angle_alpha 90.00
_cell_angle_beta 90.00
_cell_angle_gamma 120.00
loop_
_atom_site_label
_atom_site_fract_x
_atom_site_fract_y
_atom_site_fract_z
_atom_site_occupancy
Ca1 0.0000 0.0000 0.0000 1
Ca2 0.0000 0.0000 0.1238 1
Ca3 0.0000 0.0000 0.4961 1
Ho1 0.0000 0.0000 0.6219 1
Pt1 0.0000 0.0000 0.3106 1
Pt2 0.0000 0.0000 0.8106 1
Pt3 0.0024 0.5012 0.5618 1
Pt4 0.1678 0.3355 0.3927 1
```

---

# 3
# CaHo5Pt6

A relaxed structure of CaHo5Pt6 (PBE, the Alexandria database).

The structure in CIF format:
```
data_CaHo5Pt6
_symmetry_space_group_name_H-M 'C 1 2/m 1'
_symmetry_Int_Tables_number 12
_cell_length_a 8.5146
_cell_length_b 14.7731
_cell_length_c 4.9175
_cell_angle_alpha 90.00
_cell_angle_beta 125.16
_cell_angle_gamma 90.00
loop_
_symmetry_equiv_pos_as_xyz
'x,y,z'
'-x,-y,-z'
'-x,y,-z'
'x,-y,z'
'x+1/2,y+1/2,z'
'-x+1/2,-y+1/2,-z'
'-x+1/2,y+1/2,-z'
'x+1/2,-y+1/2,z'
loop_
_atom_site_label
_atom_site_fract_x
_atom_site_fract_y
_atom_site_fract_z
_atom_site_occupancy
Ca1 0.0000 0.0000 0.0000 1
Ho1 0.0000 0.1615 0.5000 1
Ho2 0.0000 0.3318 0.0000 1
Ho3 0.0000 0.5000 0.5000 1
Pt1 0.2333 0.5000 0.2334 1
Pt2 0.2402 0.3269 0.7400 1
```

---

# 4
# CaHoPt2 | the Alexandria database | PBE | optimized geometry
data_CaHoPt2
_symmetry_space_group_name_H-M 'F m -3 m'
_symmetry_Int_Tables_number 225
_symmetry_space_group_name_Hall '-F 4 2 3'
_cell_length_a 6.9441
_cell_length_b 6.9441
_cell_length_c 6.9441
_cell_angle_alpha 90.00
_cell_angle_beta 90.00
_cell_angle_gamma 90.00
loop_
_atom_site_label
_atom_site_fract_x
_atom_site_fract_y
_atom_site_fract_z
_atom_site_occupancy
Ca1 0.0000 0.0000 0.0000 1
Ho1 0.0000 0.0000 0.5000 1
Pt1 0.2500 0.2500 0.2500 1
# energy above the most stable polymorph in this dataset = 0.18 eV per formula unit

---

# 5
# CaHo4Pt5

A relaxed structure of CaHo4Pt5 (PBE, the Alexandria database).

The structure in CIF format:
```
data_CaHo4Pt5
_symmetry_space_group_name_H-M 'P 4/m m m'
_symmetry_Int_Tables_number 123
_symmetry_space_group_name_Hall '-P 4 2'
_cell_length_a 3.4665
_cell_length_b 3.4665
_cell_length_c 17.6206
_cell_angle_alpha 90.00
_cell_angle_beta 90.00
_cell_angle_gamma 90.00
loop_
_atom_site_label
_atom_site_fract_x
_atom_site_fract_y
_atom_site_fract_z
_atom_site_occupancy
Ca1 0.0000 0.0000 0.0000 1
Ho1 0.0000 0.0000 0.2008 1
Ho2 0.0000 0.0000 0.4010 1
Pt1 0.5000 0.5000 0.1113 1
Pt2 0.5000 0.5000 0.3032 1
Pt3 0.5000 0.5000 0.5000 1
```

---

# 6
# Ca3HoPt4

A relaxed structure of Ca3HoPt4 (PBE, the Alexandria database).

The structure in CIF format:
```
data_Ca3HoPt4
_symmetry_space_group_name_H-M 'I 4/m m m'
_symmetry_Int_Tables_number 139
_symmetry_space_group_name_Hall '-I 4 2'
_cell_length_a 4.9128
_cell_length_b 4.9128
_cell_length_c 14.0605
_cell_angle_alpha 90.00
_cell_angle_beta 90.00
_cell_angle_gamma 90.00
loop_
_atom_site_label
_atom_site_fract_x
_atom_site_fract_y
_atom_site_fract_z
_atom_site_occupancy
Ca1 0.0000 0.0000 0.0000 1
Ca2 0.0000 0.0000 0.2475 1
Ho1 0.0000 0.0000 0.5000 1
Pt1 0.0000 0.5000 0.1190 1
```

---

# 7
# CaHoPt10

A relaxed structure of CaHoPt10 (PBE, the Alexandria database).

The structure in CIF format:
```
data_CaHoPt10
_symmetry_space_group_name_H-M 'P m m m'
_symmetry_Int_Tables_number 47
_cell_length_a 4.4416
_cell_length_b 5.3866
_cell_length_c 9.2662
_cell_angle_alpha 90.00
_cell_angle_beta 90.00
_cell_angle_gamma 90.00
loop_
_symmetry_equiv_pos_as_xyz
'x,y,z'
'-x,-y,-z'
'-x,-y,z'
'x,y,-z'
'x,-y,-z'
'-x,y,z'
'-x,y,-z'
'x,-y,z'
loop_
_atom_site_label
_atom_site_fract_x
_atom_site_fract_y
_atom_site_fract_z
_atom_site_occupancy
Ca1 0.0000 0.0000 0.0000 1
Ho1 0.0000 0.5000 0.5000 1
Pt1 0.0000 0.0000 0.3357 1
Pt2 0.0000 0.5000 0.1693 1
Pt3 0.5000 0.0000 0.5000 1
Pt4 0.5000 0.2519 0.2529 1
Pt5 0.5000 0.5000 0.0000 1
```

---

# 8
# CaHoPtRh | the Alexandria database | PBE | optimized geometry
data_CaHoPtRh
_symmetry_space_group_name_H-M 'F -4 3 m'
_symmetry_Int_Tables_number 216
_symmetry_space_group_name_Hall 'F -4 2 3'
_cell_length_a 6.8811
_cell_length_b 6.8811
_cell_length_c 6.8811
_cell_angle_alpha 90.00
_cell_angle_beta 90.00
_cell_angle_gamma 90.00
loop_
_atom_site_label
_atom_site_fract_x
_atom_site_fract_y
_atom_site_fract_z
_atom_site_occupancy
Ca1 0.0000 0.0000 0.0000 1
Ho1 0.0000 0.0000 0.5000 1
Pt1 0.2500 0.2500 0.2500 1
Rh1 0.2500 0.2500 0.7500 1
# energy above the most stable polymorph in this dataset = 0.15 eV per formula unit

---

Number 1: ΔH_f (0 K) -0.7197 eV per atom, electronic total energy -4.926 eV per atom. Number 2: ΔH_f (0 K) -0.9890 eV per atom, electronic total energy -5.898 eV per atom. Number 3: ΔH_f (0 K) -1.2074 eV per atom, electronic total energy -6.302 eV per atom. Number 4: ΔH_f (0 K) -1.0769 eV per atom, electronic total energy -5.742 eV per atom. Number 5: ΔH_f (0 K) -1.1932 eV per atom, electronic total energy -6.245 eV per atom. Number 6: ΔH_f (0 K) -0.9938 eV per atom, electronic total energy -5.337 eV per atom. Number 7: ΔH_f (0 K) -0.6154 eV per atom, electronic total energy -6.198 eV per atom. Number 8: ΔH_f (0 K) -0.8476 eV per atom, electronic total energy -5.841 eV per atom.